(1)
Density functional theory data (PBE) for crystalline LaSnGe2 at its relaxed geometry.

POSCAR file:
```
LaSnGe2
1.0
-3.452 2.094 -2.632
-1.374 -1.970 -4.179
-5.108 -2.674 0.160
Ge Sn La
2 1 1
Cartesian
-7.803 -2.186 -4.743
-2.131 -0.364 -1.907
0.000 0.000 0.000
-4.967 -1.275 -3.325
```

Summary:
* size of the total moment: 0.000 μB/atom
* V: 102 Å³/cell
* crystal system: trigonal
* space group: R-3m (166)
* DFT formation energy: -0.330 eV/atom
* density of states at the Fermi level: 0.861 states/eV per atom



(2)
Density functional theory data (PBE) for crystalline La2Sn2Ge at its relaxed geometry.

POSCAR file:
```
La2Sn2Ge
1.0
8.208 0.000 0.000
0.000 8.208 0.000
0.000 0.000 4.784
Ge Sn La
2 4 4
Cartesian
0.000 0.000 0.000
4.104 4.104 0.000
1.043 5.147 2.392
5.147 7.165 2.392
7.165 3.061 2.392
3.061 1.043 2.392
2.659 6.763 0.000
6.763 5.550 0.000
5.550 1.446 0.000
1.446 2.659 0.000
```

Summary:
* size of the total moment: 0.000 μB/atom
* V: 322 Å³/cell
* crystal system: tetragonal
* space group: P4/mbm (127)
* DFT formation energy: -0.488 eV/atom
* density of states at the Fermi level: 0.701 states/eV per atom



(3)
Density functional theory data (PBE) for crystalline LaSnGe2 at its relaxed geometry.

POSCAR file:
```
LaSnGe2
1.0
4.307 0.000 0.000
0.000 4.709 0.000
0.000 0.000 4.709
Ge Sn La
2 1 1
Cartesian
0.000 0.000 2.355
0.000 2.355 0.000
2.154 0.000 0.000
2.154 2.355 2.355
```

Summary:
* size of the total moment: 0.000 μB/atom
* V: 96 Å³/cell
* crystal system: tetragonal
* space group: P4/mmm (123)
* DFT formation energy: -0.485 eV/atom
* density of states at the Fermi level: 0.531 states/eV per atom



(4)
Density functional theory data (PBE) for crystalline La12Sn5Ge2 at its relaxed geometry.

POSCAR file:
```
La12Sn5Ge2
1.0
8.106 0.000 0.000
-4.053 8.905 0.313
0.000 -2.793 9.789
La Sn Ge
12 5 2
Cartesian
4.053 7.397 1.994
-1.955 3.335 9.061
1.955 3.335 9.061
-1.921 5.125 4.547
1.921 5.125 4.547
0.000 6.585 7.935
4.053 -0.472 2.167
5.974 0.987 5.555
2.132 0.987 5.555
6.008 2.777 1.040
2.098 2.777 1.040
0.000 -1.284 8.108
0.000 3.353 6.484
0.000 5.259 1.887
0.000 -1.396 4.894
4.053 0.853 8.215
4.053 2.760 3.618
6.124 0.000 0.000
1.982 0.000 0.000
```

Summary:
* size of the total moment: 0.055 μB/atom
* V: 714 Å³/cell
* crystal system: monoclinic
* space group: C2/m (12)
* DFT formation energy: -0.482 eV/atom
* density of states at the Fermi level: 1.053 states/eV per atom



(5)
Density functional theory data (PBE) for crystalline La8Sn2Ge at its relaxed geometry.

POSCAR file:
```
La8Sn2Ge
1.0
-0.271 -5.277 1.091
7.047 -0.370 -0.037
-2.719 4.683 8.627
La Sn Ge
8 2 1
Cartesian
1.431 1.490 7.559
5.958 -2.379 3.318
3.147 -1.748 5.668
-1.353 -0.685 9.688
0.910 0.783 4.013
-1.902 1.414 6.363
2.626 -2.455 2.122
5.409 -0.280 -0.007
-0.113 -1.392 6.582
4.170 0.427 3.099
-0.136 -2.639 0.546
```

Summary:
* size of the total moment: 0.000 μB/atom
* V: 356 Å³/cell
* crystal system: monoclinic
* space group: C2/m (12)
* DFT formation energy: -0.465 eV/atom
* density of states at the Fermi level: 1.208 states/eV per atom



(6)
Density functional theory data (PBE) for crystalline LaSnGe4 at its relaxed geometry.

POSCAR file:
```
LaSnGe4
1.0
-4.970 -2.805 -0.564
-0.338 -5.547 1.414
-2.936 -1.597 4.660
Ge Sn La
4 1 1
Cartesian
-3.678 -5.426 1.090
-4.995 -3.423 2.736
-5.167 -6.236 3.454
-2.646 -4.813 3.740
0.000 0.000 0.000
-2.061 -2.487 1.377
```

Summary:
* size of the total moment: 0.000 μB/atom
* V: 133 Å³/cell
* crystal system: cubic
* space group: F-43m (216)
* DFT formation energy: -0.207 eV/atom
* density of states at the Fermi level: 0.455 states/eV per atom